# As3Pt

A relaxed structure of As3Pt (GGA-PBE, Alexandria via LeMat-Bulk).

Cell: 7.1674 7.1674 7.1674 Å, 141.26 141.26 55.94°
With the nearest neighbours (Å) after each atom.
Fractional positions:
As  0.0000  0.5000  0.5000  4 As 2.76, 4 Pt 2.94
As  0.5000  0.0000  0.5000  4 As 2.76, 4 Pt 2.94
As  0.7500  0.2500  0.5000  4 Pt 2.78, 4 As 2.96
As  0.2500  0.7500  0.5000  4 Pt 2.78, 4 As 2.96
As  0.8891  0.8891  0.0000  9 As 2.76-2.96
As  0.1109  0.1109  0.0000  9 As 2.76-2.96
Pt  0.6361  0.6361  0.0000  8 As 2.78-2.94
Pt  0.3639  0.3639  0.0000  8 As 2.78-2.94

* relative energy among the computed polymorphs: 340 meV per atom
* space group: I4/mmm

---

# AsPt

A relaxed structure of AsPt (GGA-PBE, Alexandria via LeMat-Bulk).

Cell: 3.2267 3.2267 3.2267 Å, 90.00 90.00 90.00°
With the nearest neighbours (Å) after each atom.
Fractional positions:
As  0.0000  0.0000  0.0000  8 Pt 2.79
Pt  0.5000  0.5000  0.5000  8 As 2.79

* space group: Pm-3m

---

# AsPt3

A relaxed structure of AsPt3 (GGA-PBE, Alexandria via LeMat-Bulk).

Cell: 8.7166 8.7166 8.7166 Å, 19.43 19.43 19.43°
With the nearest neighbours (Å) after each atom.
Fractional positions:
As  0.0000  0.0000  0.0000  6 Pt 2.62
Pt  0.7444  0.7444  0.7444  3 As 2.62, 3 Pt 2.84
Pt  0.5000  0.5000  0.5000  12 Pt 2.84-2.94
Pt  0.2556  0.2556  0.2556  3 As 2.62, 3 Pt 2.84

* space group: R-3m

---

# AsPt3

A relaxed structure of AsPt3 (GGA-PBE, Alexandria via LeMat-Bulk).

Cell: 5.2788 5.2788 5.2788 Å, 143.42 131.90 61.91°
With the nearest neighbours (Å) after each atom.
Fractional positions:
As  0.5000  0.0000  0.5000  8 Pt 2.58-2.72
Pt  0.2817  0.2817  0.0000  2 As 2.58, 4 Pt 2.77
Pt  0.7183  0.7183  0.0000  2 As 2.58, 4 Pt 2.77
Pt  0.0000  0.5000  0.5000  4 As 2.72, 4 Pt 2.92

* space group: Immm

---

# As4Pt

A relaxed structure of As4Pt (GGA-PBE, Alexandria via LeMat-Bulk).

Cell: 4.9027 4.9027 4.9027 Å, 90.00 90.00 90.00°
With the nearest neighbours (Å) after each atom.
Fractional positions:
As  0.0000  0.0000  0.0000  12 As 3.47
As  0.5000  0.0000  0.5000  2 Pt 2.45
As  0.0000  0.5000  0.5000  2 Pt 2.45
As  0.5000  0.5000  0.0000  2 Pt 2.45
Pt  0.5000  0.5000  0.5000  6 As 2.45

* relative energy among the computed polymorphs: 897 meV per atom
* space group: Pm-3m

---

# As3Pt

A relaxed structure of As3Pt (GGA-PBE, Alexandria via LeMat-Bulk).

Cell: 4.1666 4.1666 4.1666 Å, 90.00 90.00 90.00°
With the nearest neighbours (Å) after each atom.
Fractional positions:
As  0.0000  0.5000  0.5000  8 As 2.95, 4 Pt 2.95
As  0.5000  0.0000  0.5000  8 As 2.95, 4 Pt 2.95
As  0.5000  0.5000  0.0000  8 As 2.95, 4 Pt 2.95
Pt  0.0000  0.0000  0.0000  12 As 2.95

* relative energy among the computed polymorphs: 413 meV per atom
* space group: Pm-3m

---

# AsPt6

A relaxed structure of AsPt6 (GGA-PBE, Alexandria via LeMat-Bulk).

Cell: 6.0734 6.0734 6.0734 Å, 109.47 109.47 109.47°
With the nearest neighbours (Å) after each atom.
Fractional positions:
As  0.0000  0.0000  0.0000  24 Pt 3.92
Pt  0.2500  0.7500  0.5000  4 Pt 2.48
Pt  0.5000  0.7500  0.2500  4 Pt 2.48
Pt  0.2500  0.5000  0.7500  4 Pt 2.48
Pt  0.7500  0.2500  0.5000  4 Pt 2.48
Pt  0.5000  0.2500  0.7500  4 Pt 2.48
Pt  0.7500  0.5000  0.2500  4 Pt 2.48

* space group: Im-3m

---

# AsPt

A relaxed structure of AsPt (GGA-PBE, Alexandria via LeMat-Bulk).

Cell: 3.8852 7.2519 3.8870 Å, 74.45 59.98 57.60°
With the nearest neighbours (Å) after each atom.
Fractional positions:
As  0.2498  0.0008  0.8747  3 Pt 2.44, 1 As 2.56
As  0.6668  0.5825  0.8753  3 Pt 2.44, 1 As 2.56
Pt  0.4900  0.4268  0.5416  3 As 2.44
Pt  0.4267  0.1566  0.2084  3 As 2.44

* space group: P-3m1

---

# AsPt2

A relaxed structure of AsPt2 (GGA-PBE, Alexandria via LeMat-Bulk).

Cell: 4.5808 4.5808 2.8063 Å, 90.00 90.00 120.00°
With the nearest neighbours (Å) after each atom.
Fractional positions:
As  0.0000  0.0000  0.0000  2 As 2.81, 12 Pt 2.99
Pt  0.3333  0.6667  0.5000  5 Pt 2.64-2.81
Pt  0.6667  0.3333  0.5000  5 Pt 2.64-2.81

* space group: P6/mmm

---

# AsPt2

A relaxed structure of AsPt2 (GGA-PBE, Alexandria via LeMat-Bulk).

Cell: 5.8692 5.8692 7.0629 Å, 46.61 46.61 38.89°
With the nearest neighbours (Å) after each atom.
Fractional positions:
As  0.4193  0.4193  0.3294  5 Pt 2.45-2.57
As  0.5807  0.5807  0.6706  5 Pt 2.45-2.57
Pt  0.1065  0.1065  0.0568  2 As 2.45
Pt  0.8086  0.8086  0.6589  3 As 2.46-2.57, 2 Pt 2.75
Pt  0.1914  0.1914  0.3411  3 As 2.46-2.57, 2 Pt 2.75
Pt  0.8935  0.8935  0.9432  2 As 2.45

* space group: C2/m

---

# AsPt2

A relaxed structure of AsPt2 (GGA-PBE, Alexandria via LeMat-Bulk).

Cell: 4.9068 5.7915 7.2931 Å, 90.00 90.00 90.00°
With the nearest neighbours (Å) after each atom.
Fractional positions:
As  0.2500  0.6308  0.4013  5 Pt 2.42-2.57
As  0.7500  0.8692  0.9013  5 Pt 2.42-2.57
As  0.2500  0.1308  0.0987  5 Pt 2.42-2.57
As  0.7500  0.3692  0.5987  5 Pt 2.42-2.57
Pt  0.2500  0.9076  0.7991  3 As 2.54-2.57, 1 Pt 2.80
Pt  0.7500  0.5924  0.2991  3 As 2.54-2.57, 1 Pt 2.80
Pt  0.2500  0.4076  0.7009  3 As 2.54-2.57, 1 Pt 2.80
Pt  0.7500  0.0924  0.2009  3 As 2.54-2.57, 1 Pt 2.80
Pt  0.2500  0.0470  0.4320  2 As 2.42-2.48, 2 Pt 2.70
Pt  0.7500  0.4530  0.9320  2 As 2.42-2.48, 2 Pt 2.70
Pt  0.2500  0.5470  0.0680  2 As 2.42-2.48, 2 Pt 2.70
Pt  0.7500  0.9530  0.5680  2 As 2.42-2.48, 2 Pt 2.70

* space group: Pnma

---

# AsPt

A relaxed structure of AsPt (GGA-PBE, Alexandria via LeMat-Bulk).

Cell: 4.0398 4.0398 6.3189 Å, 90.00 90.00 120.00°
With the nearest neighbours (Å) after each atom.
Fractional positions:
As  0.3333  0.6667  0.9931  4 Pt 2.43-2.44
As  0.6667  0.3333  0.4931  4 Pt 2.43-2.44
Pt  0.3333  0.6667  0.3779  4 As 2.43-2.44
Pt  0.6667  0.3333  0.8779  4 As 2.43-2.44

* space group: P6_3mc

---

Result set for formation energy: 24.8; -2.1; -2.3; -6.3; 67.2; 31.8; 100.7; -35.7; 26.0; -21.1; -16.7; -15.9 kJ/mol of atoms, one per record in the order listed.
Result set for density: 9.75; 13.35; 17.11; 16.99; 6.97; 9.64; 11.99; 11.20; 15.14; 14.76; 14.91; 10.04 g cm⁻³, one per record in the order listed.